Record 1
DFT (PBE) results for a relaxed structure of V2Co2Ge.

As for the calculated formation energy: -0.117 eV/atom. Its crystal system is tetragonal.

The structure belongs to space group P4/mbm (No. 127); the cell edges are 6.7497, 6.7497 and 2.7588 Å and the angles 90.00°, 90.00° and 90.00°. Symmetry generates all atoms from V at (0.1679, 0.3321, 0.0000), Co at (0.1274, 0.6274, 0.5000) and Ge at (0.0000, 0.0000, 0.5000).



Record 2
DFT (PBE) results for a relaxed structure of YVCoGe2.

As for the calculated formation energy: 0.119 eV/atom. Its crystal system is tetragonal.

The structure belongs to space group P4/mmm (No. 123); the cell edges are 4.5015, 4.5015 and 4.5614 Å and the angles 90.00°, 90.00° and 90.00°. Symmetry generates all atoms from Y at (0.0000, 0.0000, 0.0000), V at (0.5000, 0.5000, 0.0000), Co at (0.5000, 0.5000, 0.5000) and Ge at (0.0000, 0.5000, 0.5000).



Record 3
DFT (PBE) results for a relaxed structure of CoGeW.

As for the calculated formation energy: 0.177 eV/atom. Its crystal system is hexagonal.

The structure belongs to space group P-6m2 (No. 187); the cell edges are 2.8638, 2.8638 and 11.8576 Å and the angles 90.00°, 90.00° and 120.00°. Symmetry generates all atoms from Co at (0.0000, 0.0000, 0.1706), Ge at (0.6667, 0.3333, 0.3199), W at (0.0000, 0.0000, 0.5000) and W at (0.6667, 0.3333, 0.0000).



Record 4
DFT (PBE) results for a relaxed structure of CoGe3W.

As for the calculated formation energy: 0.998 eV/atom. The excess energy over the best structure of this formula in the dataset comes out at 0.00 eV/f.u. Its crystal system is cubic.

The structure belongs to space group Pm-3m (No. 221); the cell edges are 4.4944, 4.4944 and 4.4944 Å and the angles 90.00°, 90.00° and 90.00°. Symmetry generates all atoms from Co at (0.0000, 0.0000, 0.0000), Ge at (0.0000, 0.0000, 0.5000) and W at (0.5000, 0.5000, 0.5000).



Record 5
DFT (PBE) results for a relaxed structure of Co4GeW.

As for the calculated formation energy: 0.404 eV/atom. Its crystal system is tetragonal.

The structure belongs to space group I4_1/a (No. 88, origin choice 2); the cell edges are 6.2084, 6.2084 and 8.3907 Å and the angles 90.00°, 90.00° and 90.00°. Symmetry generates all atoms from Co at (0.1337, 0.1029, 0.3806), Ge at (0.0000, 0.2500, 0.6250) and W at (0.0000, 0.2500, 0.1250).



Record 6
DFT (PBE) results for a relaxed structure of YCo2Ge.

As for the calculated formation energy: -0.058 eV/atom. Its crystal system is tetragonal.

The structure belongs to space group I-42d (No. 122); the cell edges are 4.3318, 4.3318 and 16.2488 Å and the angles 90.00°, 90.00° and 90.00°. Symmetry generates all atoms from Y at (0.0000, 0.0000, 0.0000), Co at (0.0714, 0.2500, 0.6250) and Ge at (0.0000, 0.0000, 0.5000).